Here is a relaxed Sr2BiOsO8 crystal from Alexandria via LeMat-Bulk. Energies are from GGA-PBE.

**Volume**: 193.6 Å³/cell
**Formation energy (no corrections)**: -150.5 kJ/mol of atoms
**Density**: 6.024 g cm⁻³
**Space group**: No. 10
**N(E_F)**: 0.19 states/eV per atom
**DFT total energy**: -0.235 Ha/atom

The structure in POSCAR format:
```
Sr2BiOsO8
1.0
5.3276 0.0000 0.0000
0.0000 6.8068 0.0000
-0.1731 0.0000 5.3399
Sr Bi Os O
2 1 1 8
direct
0.0000 0.2434 0.0000
0.0000 0.7566 0.0000
0.5000 0.5000 0.5000
0.5000 0.0000 0.5000
0.2215 0.5000 0.2192
0.2543 0.0000 0.2519
0.3297 0.2100 0.6676
0.3297 0.7900 0.6676
0.6703 0.2100 0.3324
0.6703 0.7900 0.3324
0.7457 0.0000 0.7481
0.7785 0.5000 0.7808
```

=====

Here is a relaxed SrBiOsO6 crystal from Alexandria via LeMat-Bulk. Energies are from GGA-PBE.

**Volume**: 285.4 Å³/cell
**Formation energy (no corrections)**: -148.1 kJ/mol of atoms
**Density**: 6.782 g cm⁻³
**Space group**: No. 163
**N(E_F)**: 0.42 states/eV per atom
**DFT total energy**: -0.246 Ha/atom

The structure in POSCAR format:
```
SrBiOsO6
1.0
5.6557 0.0000 0.0000
-2.8279 4.8980 0.0000
0.0000 0.0000 10.3025
Sr Bi Os O
2 2 2 12
direct
0.0000 0.0000 0.0000
0.0000 0.0000 0.5000
0.3333 0.6667 0.2500
0.6667 0.3333 0.7500
0.3333 0.6667 0.7500
0.6667 0.3333 0.2500
0.0488 0.3897 0.6446
0.0488 0.6591 0.8554
0.3409 0.3897 0.8554
0.3409 0.9512 0.6446
0.3897 0.0488 0.1446
0.3897 0.3409 0.3554
0.6103 0.6591 0.6446
0.6103 0.9512 0.8554
0.6591 0.0488 0.3554
0.6591 0.6103 0.1446
0.9512 0.3409 0.1446
0.9512 0.6103 0.3554
```

=====

Here is a relaxed SrBiOs2O8 crystal from Alexandria via LeMat-Bulk. Energies are from GGA-PBE.

**Volume**: 190.2 Å³/cell
**Formation energy (no corrections)**: -105.8 kJ/mol of atoms
**Density**: 7.029 g cm⁻³
**Space group**: No. 148
**N(E_F)**: 0.43 states/eV per atom
**DFT total energy**: -0.248 Ha/atom

The structure in POSCAR format:
```
SrBiOs2O8
1.0
2.7330 1.5779 7.3503
-2.7330 1.5779 7.3503
0.0000 -3.1558 7.3503
Sr Bi Os O
1 1 2 8
direct
0.0000 0.0000 0.0000
0.5000 0.5000 0.5000
0.2535 0.2535 0.2535
0.7465 0.7465 0.7465
0.0791 0.4337 0.7994
0.2006 0.9209 0.5663
0.3352 0.3352 0.3352
0.4337 0.7994 0.0791
0.5663 0.2006 0.9209
0.6648 0.6648 0.6648
0.7994 0.0791 0.4337
0.9209 0.5663 0.2006
```

=====

Here is a relaxed TbBiOsO6 crystal from Alexandria via LeMat-Bulk. Energies are from GGA-PBE.

**Volume**: 258.7 Å³/cell
**Formation energy (no corrections)**: -165.4 kJ/mol of atoms
**Density**: 8.399 g cm⁻³
**Space group**: No. 163
**N(E_F)**: 0.48 states/eV per atom
**DFT total energy**: -0.265 Ha/atom

The structure in POSCAR format:
```
TbBiOsO6
1.0
5.5822 0.0000 0.0000
-2.7911 4.8343 0.0000
0.0000 0.0000 9.5851
Tb Bi Os O
2 2 2 12
direct
0.3333 0.6667 0.2500
0.6667 0.3333 0.7500
0.0000 0.0000 0.0000
0.0000 0.0000 0.5000
0.3333 0.6667 0.7500
0.6667 0.3333 0.2500
0.0431 0.3790 0.6355
0.0431 0.6641 0.8645
0.3359 0.3790 0.8645
0.3359 0.9569 0.6355
0.3790 0.0431 0.1355
0.3790 0.3359 0.3645
0.6210 0.6641 0.6355
0.6210 0.9569 0.8645
0.6641 0.0431 0.3645
0.6641 0.6210 0.1355
0.9569 0.3359 0.1355
0.9569 0.6210 0.3645
```

=====

Here is a relaxed TlBiOsO6 crystal from Alexandria via LeMat-Bulk. Energies are from GGA-PBE.

**Volume**: 157.8 Å³/cell
**Formation energy (no corrections)**: -92.0 kJ/mol of atoms
**Density**: 7.360 g cm⁻³
**Space group**: No. 149
**DFT total energy**: -0.228 Ha/atom

The structure in POSCAR format:
```
TlBiOsO6
1.0
5.7051 0.0000 0.0000
-2.8525 4.9407 0.0000
0.0000 0.0000 5.5998
Tl Bi Os O
1 1 1 6
direct
0.0000 0.0000 0.0000
0.3333 0.6667 0.5000
0.6667 0.3333 0.5000
0.4091 0.0505 0.6965
0.4091 0.3586 0.3035
0.6414 0.0505 0.3035
0.6414 0.5909 0.6965
0.9495 0.3586 0.6965
0.9495 0.5909 0.3035
```

=====

Here is a relaxed Tl2Bi2OsO6 crystal from Alexandria via LeMat-Bulk. Energies are from GGA-PBE.

**Volume**: 208.2 Å³/cell
**Formation energy (no corrections)**: -81.7 kJ/mol of atoms
**Density**: 8.877 g cm⁻³
**Space group**: No. 12
**N(E_F)**: 0.39 states/eV per atom
**DFT total energy**: -0.210 Ha/atom

The structure in POSCAR format:
```
Tl2Bi2OsO6
1.0
3.1059 -5.0938 0.0000
3.1059 5.0938 0.0000
-1.5107 0.0000 6.5796
Tl Bi Os O
2 2 1 6
direct
0.1677 0.8323 0.0000
0.8323 0.1677 0.0000
0.3370 0.6630 0.5000
0.6630 0.3370 0.5000
0.0000 0.0000 0.5000
0.0253 0.3374 0.6457
0.1818 0.1818 0.2953
0.3374 0.0253 0.6457
0.6626 0.9747 0.3543
0.8182 0.8182 0.7047
0.9747 0.6626 0.3543
```

=====

Here is a relaxed TmBiOsO6 crystal from Alexandria via LeMat-Bulk. Energies are from GGA-PBE.

**Volume**: 253.9 Å³/cell
**Formation energy (no corrections)**: -169.1 kJ/mol of atoms
**Density**: 8.688 g cm⁻³
**Space group**: No. 163
**N(E_F)**: 0.48 states/eV per atom
**DFT total energy**: -0.266 Ha/atom

The structure in POSCAR format:
```
TmBiOsO6
1.0
5.5027 0.0000 0.0000
-2.7513 4.7655 0.0000
0.0000 0.0000 9.6812
Tm Bi Os O
2 2 2 12
direct
0.3333 0.6667 0.2500
0.6667 0.3333 0.7500
0.0000 0.0000 0.0000
0.0000 0.0000 0.5000
0.3333 0.6667 0.7500
0.6667 0.3333 0.2500
0.0364 0.3774 0.6367
0.0364 0.6590 0.8633
0.3410 0.3774 0.8633
0.3410 0.9636 0.6367
0.3774 0.0364 0.1367
0.3774 0.3410 0.3633
0.6226 0.6590 0.6367
0.6226 0.9636 0.8633
0.6590 0.0364 0.3633
0.6590 0.6226 0.1367
0.9636 0.3410 0.1367
0.9636 0.6226 0.3633
```

=====

Here is a relaxed Y2BiOsO8 crystal from Alexandria via LeMat-Bulk. Energies are from GGA-PBE.

**Volume**: 174.9 Å³/cell
**Formation energy (no corrections)**: -198.8 kJ/mol of atoms
**Density**: 6.694 g cm⁻³
**Space group**: No. 65
**N(E_F)**: 0.29 states/eV per atom
**DFT total energy**: -0.283 Ha/atom

The structure in POSCAR format:
```
Y2BiOsO8
1.0
3.5560 -3.5864 0.0000
3.5560 3.5864 0.0000
0.0000 0.0000 6.8571
Y Bi Os O
2 1 1 8
direct
0.0000 0.0000 0.2504
0.0000 0.0000 0.7496
0.5000 0.5000 0.0000
0.5000 0.5000 0.5000
0.1880 0.1880 0.0000
0.2332 0.2332 0.5000
0.3182 0.6818 0.2913
0.3182 0.6818 0.7087
0.6818 0.3182 0.2913
0.6818 0.3182 0.7087
0.7668 0.7668 0.5000
0.8120 0.8120 0.0000
```